DFT (PBE) results for a geometry-optimized K3Y2HfO6 structure.

abc: 5.919 5.919 6.573
angles: 98.64 98.64 120.02
Positions (direct):
1 K 0.000 0.000 0.000
2 K 0.334 0.666 0.000
3 K 0.666 0.334 0.000
4 Y 0.167 0.833 0.500
5 Y 0.833 0.167 0.500
6 Hf 0.500 0.500 0.500
7 O 0.130 0.439 0.318
8 O 0.251 0.251 0.682
9 O 0.439 0.130 0.318
10 O 0.561 0.870 0.682
11 O 0.749 0.749 0.318
12 O 0.870 0.561 0.682

The value obtained for the energy is -7.2864 eV/atom. The calculation puts the total magnetization at 0.000 μB per atom.

=====

DFT (PBE) results for a geometry-optimized K3HfZn2O6 structure.

abc: 5.628 5.628 6.387
angles: 97.71 97.71 121.32
Positions (direct):
1 K 0.000 0.000 0.000
2 K 0.326 0.674 0.000
3 K 0.674 0.326 0.000
4 Hf 0.500 0.500 0.500
5 Zn 0.165 0.835 0.500
6 Zn 0.835 0.165 0.500
7 O 0.112 0.430 0.322
8 O 0.245 0.245 0.691
9 O 0.430 0.112 0.322
10 O 0.570 0.888 0.678
11 O 0.755 0.755 0.309
12 O 0.888 0.570 0.678

The value obtained for the energy is -5.5792 eV/atom. The calculation puts the total magnetization at 0.091 μB per atom.

=====

DFT (PBE) results for a geometry-optimized K2HfOs structure.

abc: 5.283 5.283 5.283
angles: 60.00 60.00 60.00
Positions (direct):
1 K 0.250 0.250 0.250
2 K 0.750 0.750 0.750
3 Hf 0.000 0.000 0.000
4 Os 0.500 0.500 0.500

Its relative energy among the computed polymorphs is 0.895 eV per atom. The calculation puts the total magnetization at 0.000 μB per atom. The formation energy is 2.12 eV/atom.

=====

DFT (PBE) results for a geometry-optimized K2HfOs structure.

abc: 8.956 8.956 8.956
angles: 94.20 94.20 148.60
Positions (direct):
1 K 0.375 0.226 0.351
2 K 0.774 0.125 0.149
3 K 0.875 0.024 0.649
4 K 0.976 0.625 0.851
5 Hf 0.250 0.750 0.500
6 Hf 0.500 0.500 0.000
7 Os 0.000 0.000 0.000
8 Os 0.750 0.250 0.500

Its relative energy among the computed polymorphs is 0.000 eV per atom. The calculation puts the total magnetization at 0.000 μB per atom. The formation energy is 1.23 eV/atom.

=====

DFT (PBE) results for a geometry-optimized K2Hf2Os structure.

abc: 6.819 6.819 6.689
angles: 90.00 90.00 90.00
Positions (direct):
1 K 0.186 0.314 0.000
2 K 0.314 0.814 0.000
3 K 0.686 0.186 0.000
4 K 0.814 0.686 0.000
5 Hf 0.172 0.672 0.500
6 Hf 0.328 0.172 0.500
7 Hf 0.672 0.828 0.500
8 Hf 0.828 0.328 0.500
9 Os 0.000 0.000 0.500
10 Os 0.500 0.500 0.500

Its relative energy among the computed polymorphs is 0.000 eV per atom. The calculation puts the total magnetization at 0.000 μB per atom. The formation energy is 0.61 eV/atom.

=====

DFT (PBE) results for a geometry-optimized KHfOs3 structure.

abc: 4.966 4.966 4.966
angles: 90.00 90.00 90.00
Positions (direct):
1 K 0.000 0.000 0.000
2 Hf 0.500 0.500 0.500
3 Os 0.000 0.500 0.500
4 Os 0.500 0.000 0.500
5 Os 0.500 0.500 0.000

Its relative energy among the computed polymorphs is 0.000 eV per atom. The calculation puts the total magnetization at 0.695 μB per atom. The formation energy is 2.13 eV/atom.

=====

DFT (PBE) results for a geometry-optimized KHfOs3 structure.

abc: 4.537 4.537 4.537
angles: 90.00 90.00 90.00
Positions (direct):
1 K 0.000 0.000 0.000
2 Hf 0.500 0.500 0.500
3 Os 0.000 0.000 0.500
4 Os 0.000 0.500 0.000
5 Os 0.500 0.000 0.000

Its relative energy among the computed polymorphs is 0.914 eV per atom. The calculation puts the total magnetization at 0.000 μB per atom. The formation energy is 3.05 eV/atom.

=====

DFT (PBE) results for a geometry-optimized K2Hf2Os structure.

abc: 9.598 9.598 9.598
angles: 157.87 157.87 31.49
Positions (direct):
1 K 0.250 0.750 0.500
2 K 0.750 0.250 0.500
3 Hf 0.072 0.072 0.000
4 Hf 0.928 0.928 0.000
5 Os 0.500 0.500 0.000

Its relative energy among the computed polymorphs is 0.523 eV per atom. The calculation puts the total magnetization at 0.146 μB per atom. The formation energy is 1.13 eV/atom.